i:
A plane-wave DFT calculation with PBE was carried out for an optimized crystal structure of NdTmCdAg.

Summary:
- Crystal system: tetragonal
- Space-group type: P4mm (99)

Unit cell a=3.695 b=3.695 c=7.560 alpha=90.00 beta=90.00 gamma=90.00
Each line ends with the local moment (μB).
Element x y z (fractional)
Ag1 0.000 0.000 0.383  0.00
Tm1 0.500 0.500 0.595  0.00
Nd1 0.500 0.500 0.112  0.11
Cd1 0.000 0.000 0.838  0.00



ii:
A plane-wave DFT calculation with PBE was carried out for an optimized crystal structure of NdTmCdAg.

Summary:
- Crystal system: cubic
- Space-group type: F-43m (216)

Unit cell a=5.273 b=5.273 c=5.273 alpha=60.00 beta=60.00 gamma=60.00
Element x y z (fractional)
Tm1 0.500 0.500 0.500
Cd1 0.250 0.250 0.250
Nd1 0.000 0.000 0.000
Ag1 0.750 0.750 0.750



Tell me which of them is the least stable. Sure, it is ii.



i:
A plane-wave DFT calculation with PBE was carried out for an optimized crystal structure of CdNiAg3.

Summary:
- Crystal system: cubic
- Space-group type: Pm-3m (221)

Unit cell a=5.108 b=5.108 c=5.108 alpha=90.00 beta=90.00 gamma=90.00
Each line ends with the local moment (μB).
Element x y z (fractional)
Ni1 0.500 0.500 0.500  0.61
Ag1 0.000 0.500 0.000  -0.01
Ag2 0.500 0.000 0.000  -0.01
Ag3 0.000 0.000 0.500  -0.01
Cd1 0.000 0.000 0.000  -0.01



ii:
A plane-wave DFT calculation with PBE was carried out for an optimized crystal structure of CdNiAg3.

Summary:
- Crystal system: cubic
- Space-group type: Pm-3m (221)

Unit cell a=4.805 b=4.805 c=4.805 alpha=90.00 beta=90.00 gamma=90.00
Element x y z (fractional)
Ni1 0.000 0.000 0.000
Ag1 0.500 0.000 0.000
Ag2 0.000 0.500 0.000
Ag3 0.000 0.000 0.500
Cd1 0.500 0.500 0.500



Tell me which of them is the least stable. Sure, it is i.



i:
A plane-wave DFT calculation with PBE was carried out for an optimized crystal structure of Cd5NiAg.

Summary:
- Crystal system: monoclinic
- Space-group type: C2/c (15)

Unit cell a=4.989 b=4.989 c=11.485 alpha=89.86 beta=89.86 gamma=79.85
Element x y z (fractional)
Cd1 0.948 0.052 0.750
Cd2 0.137 0.445 0.107
Cd3 0.445 0.137 0.607
Cd4 0.134 0.445 0.393
Cd5 0.445 0.134 0.893
Cd6 0.866 0.555 0.607
Cd7 0.863 0.555 0.893
Cd8 0.052 0.948 0.250
Cd9 0.555 0.863 0.393
Cd10 0.555 0.866 0.107
Ni1 0.000 0.000 0.500
Ni2 0.000 0.000 0.000
Ag1 0.621 0.379 0.250
Ag2 0.379 0.621 0.750



ii:
A plane-wave DFT calculation with PBE was carried out for an optimized crystal structure of Cd5NiAg.

Summary:
- Crystal system: tetragonal
- Space-group type: P4/mmm (123)

Unit cell a=4.498 b=4.498 c=7.041 alpha=90.00 beta=90.00 gamma=90.00
Element x y z (fractional)
Cd1 0.500 0.000 0.209
Cd2 0.000 0.500 0.209
Cd3 0.500 0.500 0.500
Cd4 0.500 0.000 0.791
Cd5 0.000 0.500 0.791
Ni1 0.500 0.500 0.000
Ag1 0.000 0.000 0.500



Tell me which of them is the least stable. Sure, it is i.



i:
A plane-wave DFT calculation with PBE was carried out for an optimized crystal structure of Cd3AgO.

Summary:
- Crystal system: cubic
- Space-group type: Pm-3m (221)

Unit cell a=5.232 b=5.232 c=5.232 alpha=90.00 beta=90.00 gamma=90.00
Element x y z (fractional)
Cd1 0.000 0.000 0.500
Cd2 0.000 0.500 0.000
Cd3 0.500 0.000 0.000
Ag1 0.000 0.000 0.000
O1 0.500 0.500 0.500



ii:
A plane-wave DFT calculation with PBE was carried out for an optimized crystal structure of Cd3AgO.

Summary:
- Crystal system: cubic
- Space-group type: Pm-3m (221)

Unit cell a=4.625 b=4.625 c=4.625 alpha=90.00 beta=90.00 gamma=90.00
Element x y z (fractional)
Cd1 0.500 0.000 0.000
Cd2 0.000 0.500 0.000
Cd3 0.000 0.000 0.500
O1 0.000 0.000 0.000
Ag1 0.500 0.500 0.500



Tell me which of them is the least stable. Sure, it is i.



i:
A plane-wave DFT calculation with PBE was carried out for an optimized crystal structure of Cd2AgO3.

Summary:
- Crystal system: orthorhombic
- Space-group type: Immm (71)

Unit cell a=3.424 b=4.623 c=5.875 alpha=113.17 beta=106.94 gamma=90.00
Element x y z (fractional)
O1 0.828 0.328 0.157
O2 0.172 0.672 0.843
O3 0.500 0.000 0.500
Ag1 0.500 0.500 0.500
Cd1 0.166 0.166 0.832
Cd2 0.834 0.834 0.168



ii:
A plane-wave DFT calculation with PBE was carried out for an optimized crystal structure of Cd2AgO3.

Summary:
- Crystal system: monoclinic
- Space-group type: C2/c (15)

Unit cell a=3.849 b=6.143 c=17.280 alpha=87.59 beta=82.29 gamma=71.75
Element x y z (fractional)
Ag1 0.231 0.125 0.328
Ag2 0.644 0.125 0.172
Ag3 0.769 0.875 0.672
Ag4 0.356 0.875 0.828
O1 0.843 0.314 0.250
O2 0.654 0.113 0.568
O3 0.233 0.113 0.932
O4 0.487 0.440 0.096
O5 0.513 0.560 0.904
O6 0.346 0.887 0.432
O7 0.157 0.686 0.750
O8 0.767 0.887 0.068
O9 0.577 0.845 0.250
O10 0.928 0.560 0.596
O11 0.072 0.440 0.404
O12 0.423 0.155 0.750
Cd1 0.641 0.225 0.987
Cd2 0.866 0.775 0.487
Cd3 0.468 0.421 0.657
Cd4 0.889 0.579 0.157
Cd5 0.359 0.775 0.013
Cd6 0.532 0.579 0.343
Cd7 0.134 0.225 0.513
Cd8 0.111 0.421 0.843



Tell me which of them is the least stable. Sure, it is ii.



i:
A plane-wave DFT calculation with PBE was carried out for an optimized crystal structure of CdAg2O4.

Summary:
- Crystal system: tetragonal
- Space-group type: I4_1/amd (141)

Unit cell a=7.294 b=7.294 c=7.294 alpha=131.24 beta=131.24 gamma=71.43
Element x y z (fractional)
Cd1 0.750 0.250 0.500
Cd2 0.000 0.000 0.000
O1 0.621 0.851 0.230
O2 0.149 0.379 0.770
O3 0.129 0.859 0.730
O4 0.601 0.871 0.730
O5 0.129 0.399 0.270
O6 0.141 0.871 0.270
O7 0.621 0.391 0.770
O8 0.609 0.379 0.230
Ag1 0.875 0.625 0.250
Ag2 0.375 0.625 0.750
Ag3 0.375 0.625 0.250
Ag4 0.375 0.125 0.750



ii:
A plane-wave DFT calculation with PBE was carried out for an optimized crystal structure of CdAg2O4.

Summary:
- Crystal system: orthorhombic
- Space-group type: Fddd (70)

Unit cell a=8.245 b=7.356 c=6.077 alpha=75.05 beta=59.54 gamma=45.41
Element x y z (fractional)
Ag1 0.372 0.372 0.128
Ag2 0.878 0.878 0.122
Ag3 0.122 0.122 0.878
Ag4 0.128 0.128 0.372
O1 0.717 0.035 0.882
O2 0.215 0.533 0.885
O3 0.533 0.215 0.368
O4 0.882 0.365 0.717
O5 0.035 0.717 0.365
O6 0.885 0.368 0.215
O7 0.365 0.882 0.035
O8 0.368 0.885 0.533
Cd1 0.750 0.750 0.750
Cd2 0.500 0.500 0.500



Tell me which of them is the least stable. Sure, it is ii.



i:
A plane-wave DFT calculation with PBE was carried out for an optimized crystal structure of CdAgPO2.

Summary:
- Crystal system: tetragonal
- Space-group type: P4/mmm (123)

Unit cell a=4.067 b=4.067 c=5.476 alpha=90.00 beta=90.00 gamma=90.00
Each line ends with the local moment (μB).
Element x y z (fractional)
O1 0.500 0.000 0.000  0.43
O2 0.000 0.500 0.000  0.43
Ag1 0.500 0.500 0.500  0.00
Cd1 0.000 0.000 0.000  0.01
P1 0.000 0.000 0.500  0.15



ii:
A plane-wave DFT calculation with PBE was carried out for an optimized crystal structure of CdAgPO2.

Summary:
- Crystal system: tetragonal
- Space-group type: P4/mmm (123)

Unit cell a=4.034 b=4.034 c=5.047 alpha=90.00 beta=90.00 gamma=90.00
Element x y z (fractional)
Ag1 0.000 0.000 0.000
P1 0.000 0.000 0.500
Cd1 0.500 0.500 0.500
O1 0.000 0.500 0.000
O2 0.500 0.000 0.000



Tell me which of them is the least stable. Sure, it is i.